Entry 1:
{"formula": "Rb2SbPdCl", "functional": "GGA-PBE", "state": "relaxed", "spacegroup": "P4/mmm (123)", "e_tot_ev_per_atom": -3.269, "e_form_raw_kcal_per_mol_atoms": -15.0, "lattice": [[6.6067, 0.0000, 0.0000], [0.0000, 6.6067, 0.0000], [0.0000, 0.0000, 4.9162]], "species": ["Rb", "Rb", "Sb", "Pd", "Cl"], "frac_coords": [[0.0000, 0.5000, 0.0000], [0.5000, 0.0000, 0.0000], [0.0000, 0.0000, 0.5000], [0.0000, 0.0000, 0.0000], [0.5000, 0.5000, 0.5000]]}

Entry 2:
{"formula": "Rb2ScPdCl6", "functional": "GGA-PBE", "state": "relaxed", "spacegroup": "I4/mmm (139)", "e_tot_ev_per_atom": -4.083, "e_form_raw_kcal_per_mol_atoms": -37.6, "lattice": [[-3.7085, 3.7085, 5.0270], [3.7085, -3.7085, 5.0270], [3.7085, 3.7085, -5.0270]], "species": ["Rb", "Rb", "Sc", "Pd", "Cl", "Cl", "Cl", "Cl", "Cl", "Cl"], "frac_coords": [[0.2500, 0.7500, 0.5000], [0.7500, 0.2500, 0.5000], [0.0000, 0.0000, 0.0000], [0.5000, 0.5000, 0.0000], [0.2382, 0.2382, 0.4765], [0.2382, 0.7618, 0.0000], [0.2504, 0.2504, 0.0000], [0.7496, 0.7496, 0.0000], [0.7618, 0.2382, 0.0000], [0.7618, 0.7618, 0.5235]]}

Entry 3:
{"formula": "Rb2PdSeCl6", "functional": "GGA-PBE", "state": "relaxed", "spacegroup": "I4/mmm (139)", "e_tot_ev_per_atom": -3.145, "e_form_raw_kcal_per_mol_atoms": -22.5, "lattice": [[-3.5636, 3.5636, 5.5272], [3.5636, -3.5636, 5.5272], [3.5636, 3.5636, -5.5272]], "species": ["Rb", "Rb", "Pd", "Se", "Cl", "Cl", "Cl", "Cl", "Cl", "Cl"], "frac_coords": [[0.2500, 0.7500, 0.5000], [0.7500, 0.2500, 0.5000], [0.0000, 0.0000, 0.0000], [0.5000, 0.5000, 0.0000], [0.2151, 0.2151, 0.0000], [0.2529, 0.2529, 0.5058], [0.2529, 0.7471, 0.0000], [0.7471, 0.2529, 0.0000], [0.7471, 0.7471, 0.4942], [0.7849, 0.7849, 0.0000]]}